[1]
TcMoS3: optimized geometry, PBE.

Calculated values
E_form (uncorrected) = 0.663 eV per atom
excess energy over the best structure of this formula in the dataset = 0 meV/atom
E_tot = -30.26 eV for the cell shown
DOS at the Fermi energy = 4.11 states/eV/cell
calculated density = 4.7 g/cm³

Unit cell a=4.684 b=4.684 c=4.684 alpha=90.00 beta=90.00 gamma=90.00
Site moments in Bohr magnetons follow the coordinates.
Fractional coordinates of all 5 atoms:
S 0.500 0.000 0.000  0.04
S 0.000 0.500 0.000  0.09
S 0.000 0.000 0.500  0.07
Tc 0.500 0.500 0.500  3.81
Mo 0.000 0.000 0.000  0.06



[2]
Tc3MoS: optimized geometry, PBE.

Calculated values
E_form (uncorrected) = 2.008 eV per atom
excess energy over the best structure of this formula in the dataset = 1389 meV/atom
E_tot = -36.01 eV for the cell shown
DOS at the Fermi energy = 7.28 states/eV/cell
calculated density = 6.7 g/cm³

Unit cell a=4.709 b=4.709 c=4.709 alpha=90.00 beta=90.00 gamma=90.00
Site moments in Bohr magnetons follow the coordinates.
Fractional coordinates of all 5 atoms:
Tc 0.000 0.000 0.500  0.91
Tc 0.500 0.000 0.000  0.92
Tc 0.000 0.500 0.000  0.98
Mo 0.000 0.000 0.000  -0.29
S 0.500 0.500 0.500  0.01



[3]
TcMoS2: optimized geometry, PBE.

Calculated values
E_form (uncorrected) = -0.071 eV per atom
excess energy over the best structure of this formula in the dataset = 85 meV/atom
E_tot = -29.73 eV for the cell shown
DOS at the Fermi energy = 2.73 states/eV/cell
calculated density = 8.0 g/cm³

Unit cell a=4.235 b=4.235 c=4.235 alpha=60.00 beta=60.00 gamma=60.00
Fractional coordinates of all 4 atoms:
Tc 0.500 0.500 0.500
S 0.250 0.250 0.250
S 0.750 0.750 0.750
Mo 0.000 0.000 0.000



[4]
TcMo3S: optimized geometry, PBE.

Calculated values
E_form (uncorrected) = 1.823 eV per atom
excess energy over the best structure of this formula in the dataset = 1139 meV/atom
E_tot = -37.87 eV for the cell shown
DOS at the Fermi energy = 5.66 states/eV/cell
calculated density = 6.6 g/cm³

Unit cell a=4.712 b=4.712 c=4.712 alpha=90.00 beta=90.00 gamma=90.00
Site moments in Bohr magnetons follow the coordinates.
Fractional coordinates of all 5 atoms:
Mo 0.000 0.000 0.500  0.16
Mo 0.000 0.500 0.000  0.14
Mo 0.500 0.000 0.000  0.28
Tc 0.000 0.000 0.000  -0.03
S 0.500 0.500 0.500  -0.04



[5]
Zr2TcMoS: optimized geometry, PBE.

Calculated values
E_form (uncorrected) = 0.820 eV per atom
E_tot = -38.32 eV for the cell shown
DOS at the Fermi energy = 5.35 states/eV/cell
calculated density = 6.1 g/cm³

Unit cell a=5.110 b=4.276 c=5.110 alpha=90.00 beta=90.00 gamma=90.00
Site moments in Bohr magnetons follow the coordinates.
Fractional coordinates of all 5 atoms:
Zr 0.500 0.000 0.000  -0.21
Zr 0.000 0.000 0.500  -0.16
Mo 0.500 0.500 0.500  1.79
S 0.000 0.500 0.000  0.02
Tc 0.000 0.000 0.000  0.18



[6]
TeMo2S2: optimized geometry, PBE.

Calculated values
E_form (uncorrected) = -0.110 eV per atom
excess energy over the best structure of this formula in the dataset = 0 meV/atom
E_tot = -33.61 eV for the cell shown
DOS at the Fermi energy = 3.32 states/eV/cell
calculated density = 7.0 g/cm³

Unit cell a=4.368 b=4.368 c=5.691 alpha=67.43 beta=67.43 gamma=90.00
Fractional coordinates of all 5 atoms:
Mo 0.250 0.750 0.500
Mo 0.750 0.250 0.500
S 0.354 0.354 0.292
S 0.646 0.646 0.708
Te 0.000 0.000 0.000



[7]
TeMoS3: optimized geometry, PBE.

Calculated values
E_form (uncorrected) = 1.120 eV per atom
excess energy over the best structure of this formula in the dataset = 951 meV/atom
E_tot = -20.75 eV for the cell shown
DOS at the Fermi energy = 6.82 states/eV/cell
calculated density = 4.2 g/cm³

Unit cell a=5.007 b=5.007 c=5.007 alpha=90.00 beta=90.00 gamma=90.00
Site moments in Bohr magnetons follow the coordinates.
Fractional coordinates of all 5 atoms:
Mo 0.500 0.500 0.500  3.66
S 0.500 0.000 0.000  -0.08
S 0.000 0.000 0.500  -0.06
S 0.000 0.500 0.000  -0.12
Te 0.000 0.000 0.000  0.04



[8]
TeMoS2: optimized geometry, PBE.

Calculated values
E_form (uncorrected) = -0.337 eV per atom
E_tot = -23.58 eV for the cell shown
DOS at the Fermi energy = 2.57 states/eV/cell
calculated density = 4.9 g/cm³

Unit cell a=11.333 b=11.333 c=11.333 alpha=16.17 beta=16.17 gamma=16.17
Fractional coordinates of all 4 atoms:
S 0.119 0.119 0.119
S 0.881 0.881 0.881
Mo 0.500 0.500 0.500
Te 0.000 0.000 0.000



[9]
TeMo3S: optimized geometry, PBE.

Calculated values
E_form (uncorrected) = 2.137 eV per atom
excess energy over the best structure of this formula in the dataset = 1541 meV/atom
E_tot = -29.08 eV for the cell shown
DOS at the Fermi energy = 4.55 states/eV/cell
calculated density = 6.2 g/cm³

Unit cell a=4.918 b=4.918 c=4.918 alpha=90.00 beta=90.00 gamma=90.00
Fractional coordinates of all 5 atoms:
Mo 0.000 0.000 0.500
Mo 0.500 0.000 0.000
Mo 0.000 0.500 0.000
Te 0.000 0.000 0.000
S 0.500 0.500 0.500



[10]
TeMo3S: optimized geometry, PBE.

Calculated values
E_form (uncorrected) = 0.596 eV per atom
excess energy over the best structure of this formula in the dataset = 0 meV/atom
E_tot = -36.78 eV for the cell shown
DOS at the Fermi energy = 6.07 states/eV/cell
calculated density = 8.1 g/cm³

Unit cell a=4.515 b=4.515 c=4.515 alpha=90.00 beta=90.00 gamma=90.00
Site moments in Bohr magnetons follow the coordinates.
Fractional coordinates of all 5 atoms:
Mo 0.000 0.500 0.000  0.35
Mo 0.500 0.000 0.000  0.45
Mo 0.000 0.000 0.500  0.58
Te 0.500 0.500 0.500  0.02
S 0.000 0.000 0.000  -0.02



[11]
TeMoS2: optimized geometry, PBE.

Calculated values
E_form (uncorrected) = 0.615 eV per atom
E_tot = -19.77 eV for the cell shown
DOS at the Fermi energy = 3.65 states/eV/cell
calculated density = 5.8 g/cm³

Unit cell a=9.109 b=9.109 c=9.109 alpha=20.67 beta=20.67 gamma=20.67
Fractional coordinates of all 4 atoms:
S 0.084 0.084 0.084
S 0.916 0.916 0.916
Te 0.500 0.500 0.500
Mo 0.000 0.000 0.000



[12]
Te3MoS: optimized geometry, PBE.

Calculated values
E_form (uncorrected) = 0.624 eV per atom
excess energy over the best structure of this formula in the dataset = 0 meV/atom
E_tot = -21.27 eV for the cell shown
DOS at the Fermi energy = 5.15 states/eV/cell
calculated density = 6.0 g/cm³

Unit cell a=5.223 b=5.223 c=5.223 alpha=90.00 beta=90.00 gamma=90.00
Fractional coordinates of all 5 atoms:
Te 0.500 0.000 0.000
Te 0.000 0.000 0.500
Te 0.000 0.500 0.000
Mo 0.000 0.000 0.000
S 0.500 0.500 0.500



[13]
TeMo2S3: optimized geometry, PBE.

Calculated values
E_form (uncorrected) = -0.667 eV per atom
excess energy over the best structure of this formula in the dataset = 6 meV/atom
E_tot = -82.38 eV for the cell shown
DOS at the Fermi energy = 1.12 states/eV/cell
calculated density = 4.0 g/cm³

Unit cell a=3.275 b=3.275 c=37.599 alpha=90.00 beta=90.00 gamma=120.00
Fractional coordinates of all 12 atoms:
Mo 0.000 0.000 0.090
Mo 0.333 0.667 0.668
Mo 0.000 0.000 0.470
Mo 0.333 0.667 0.275
S 0.000 0.000 0.627
S 0.000 0.000 0.234
S 0.333 0.667 0.050
S 0.000 0.000 0.709
S 0.000 0.000 0.315
S 0.333 0.667 0.131
Te 0.333 0.667 0.419
Te 0.333 0.667 0.521



[14]
Te2Mo3S4: optimized geometry, PBE.

Calculated values
E_form (uncorrected) = -0.607 eV per atom
E_tot = -60.75 eV for the cell shown
DOS at the Fermi energy = 0.99 states/eV/cell
calculated density = 5.2 g/cm³

Unit cell a=3.302 b=3.302 c=22.549 alpha=90.00 beta=90.00 gamma=120.00
Fractional coordinates of all 9 atoms:
Te 0.333 0.667 0.585
Te 0.333 0.667 0.755
Mo 0.000 0.000 0.030
Mo 0.333 0.667 0.341
Mo 0.000 0.000 0.670
S 0.333 0.667 0.962
S 0.000 0.000 0.274
S 0.000 0.000 0.409
S 0.333 0.667 0.097



[15]
TeMoS2: optimized geometry, PBE.

Calculated values
E_form (uncorrected) = 0.176 eV per atom
E_tot = -43.05 eV for the cell shown
DOS at the Fermi energy = 3.87 states/eV/cell
calculated density = 4.8 g/cm³

Unit cell a=6.468 b=6.468 c=6.629 alpha=60.80 beta=60.80 gamma=90.00
Fractional coordinates of all 8 atoms:
Mo 0.250 0.750 0.500
Mo 0.500 0.500 0.000
S 0.212 0.625 0.250
S 0.375 0.462 0.750
S 0.875 0.788 0.750
S 0.538 0.125 0.250
Te 0.750 0.250 0.500
Te 0.000 0.000 0.000



[16]
TeMo2S2: optimized geometry, PBE.

Calculated values
E_form (uncorrected) = 0.303 eV per atom
excess energy over the best structure of this formula in the dataset = 413 meV/atom
E_tot = -63.08 eV for the cell shown
DOS at the Fermi energy = 8.19 states/eV/cell
calculated density = 6.7 g/cm³

Unit cell a=8.010 b=8.010 c=2.942 alpha=90.00 beta=90.00 gamma=90.00
Fractional coordinates of all 10 atoms:
S 0.873 0.627 0.000
S 0.373 0.873 0.000
S 0.127 0.373 0.000
S 0.627 0.127 0.000
Mo 0.380 0.120 0.500
Mo 0.120 0.620 0.500
Mo 0.880 0.380 0.500
Mo 0.620 0.880 0.500
Te 0.500 0.500 0.000
Te 0.000 0.000 0.000



[17]
TeMoS3: optimized geometry, PBE.

Calculated values
E_form (uncorrected) = 0.170 eV per atom
excess energy over the best structure of this formula in the dataset = 0 meV/atom
E_tot = -25.51 eV for the cell shown
DOS at the Fermi energy = 3.89 states/eV/cell
calculated density = 5.1 g/cm³

Unit cell a=4.707 b=4.707 c=4.707 alpha=90.00 beta=90.00 gamma=90.00
Fractional coordinates of all 5 atoms:
Te 0.500 0.500 0.500
S 0.500 0.000 0.000
S 0.000 0.500 0.000
S 0.000 0.000 0.500
Mo 0.000 0.000 0.000



[18]
TeMo2S3: optimized geometry, PBE.

Calculated values
E_form (uncorrected) = -0.674 eV per atom
excess energy over the best structure of this formula in the dataset = 0 meV/atom
E_tot = -41.23 eV for the cell shown
calculated density = 5.3 g/cm³

Unit cell a=3.278 b=3.278 c=13.971 alpha=90.00 beta=90.00 gamma=120.00
Fractional coordinates of all 6 atoms:
S 0.000 0.000 0.373
S 0.333 0.667 0.635
S 0.333 0.667 0.855
Te 0.000 0.000 0.126
Mo 0.000 0.000 0.746
Mo 0.333 0.667 0.265



[19]
Te2Mo3S4: optimized geometry, PBE.

Calculated values
E_form (uncorrected) = -0.607 eV per atom
E_tot = -60.75 eV for the cell shown
DOS at the Fermi energy = 1.03 states/eV/cell
calculated density = 4.4 g/cm³

Unit cell a=3.302 b=3.302 c=26.655 alpha=90.00 beta=90.00 gamma=120.00
Fractional coordinates of all 9 atoms:
Te 0.000 0.000 0.072
Te 0.000 0.000 0.928
Mo 0.667 0.333 0.000
Mo 0.000 0.000 0.723
Mo 0.000 0.000 0.277
S 0.667 0.333 0.666
S 0.667 0.333 0.781
S 0.667 0.333 0.219
S 0.667 0.333 0.334



[20]
TeMo2S3: optimized geometry, PBE.

Calculated values
E_form (uncorrected) = -0.568 eV per atom
excess energy over the best structure of this formula in the dataset = 106 meV/atom
E_tot = -81.19 eV for the cell shown
DOS at the Fermi energy = 1.67 states/eV/cell
calculated density = 5.0 g/cm³

Unit cell a=3.222 b=8.201 c=11.136 alpha=104.55 beta=81.68 gamma=78.67
Fractional coordinates of all 12 atoms:
Te 0.606 0.485 0.302
Te 0.394 0.515 0.698
S 0.336 0.328 0.000
S 0.819 0.841 0.522
S 0.664 0.672 0.000
S 0.084 0.060 0.772
S 0.916 0.940 0.228
S 0.181 0.159 0.478
Mo 0.597 0.159 0.648
Mo 0.110 0.627 0.154
Mo 0.403 0.841 0.352
Mo 0.890 0.373 0.846